A relaxed structure of Nd2PuGa, computed with PBE.

CIF file:
```
data_Nd2PuGa
_symmetry_space_group_name_H-M 'P 4/m m m'
_symmetry_Int_Tables_number 123
_symmetry_space_group_name_Hall '-P 4 2'
_cell_length_a 4.899
_cell_length_b 4.899
_cell_length_c 4.546
_cell_angle_alpha 90.00
_cell_angle_beta 90.00
_cell_angle_gamma 90.00
loop_
_atom_site_label
_atom_site_type_symbol
_atom_site_fract_x
_atom_site_fract_y
_atom_site_fract_z
_atom_site_occupancy
Nd1 Nd 0.000 0.500 0.000 1
Pu1 Pu 0.000 0.000 0.500 1
Ga1 Ga 0.500 0.500 0.500 1
```

crystal system	tetragonal
E_form	-0.137	eV/atom

---

A relaxed structure of NdPuGa4, computed with PBE.

CIF file:
```
data_NdPuGa4
_symmetry_space_group_name_H-M 'F -4 3 m'
_symmetry_Int_Tables_number 216
_symmetry_space_group_name_Hall 'F -4 2 3'
_cell_length_a 7.901
_cell_length_b 7.901
_cell_length_c 7.901
_cell_angle_alpha 90.00
_cell_angle_beta 90.00
_cell_angle_gamma 90.00
loop_
_atom_site_label
_atom_site_type_symbol
_atom_site_fract_x
_atom_site_fract_y
_atom_site_fract_z
_atom_site_occupancy
Nd1 Nd 0.000 0.000 0.000 1
Pu1 Pu 0.250 0.250 0.750 1
Ga1 Ga 0.125 0.125 0.375 1
```

crystal system	cubic
E_form	-0.446	eV/atom

---

A relaxed structure of NdPuGa2, computed with PBE.

CIF file:
```
data_NdPuGa2
_symmetry_space_group_name_H-M 'F m -3 m'
_symmetry_Int_Tables_number 225
_symmetry_space_group_name_Hall '-F 4 2 3'
_cell_length_a 7.289
_cell_length_b 7.289
_cell_length_c 7.289
_cell_angle_alpha 90.00
_cell_angle_beta 90.00
_cell_angle_gamma 90.00
loop_
_atom_site_label
_atom_site_type_symbol
_atom_site_fract_x
_atom_site_fract_y
_atom_site_fract_z
_atom_site_occupancy
Nd1 Nd 0.000 0.000 0.000 1
Pu1 Pu 0.000 0.000 0.500 1
Ga1 Ga 0.250 0.250 0.250 1
```

crystal system	cubic
E_form	-0.369	eV/atom

---

A relaxed structure of Nd2PuGa6, computed with PBE.

CIF file:
```
data_Nd2PuGa6
_symmetry_space_group_name_H-M 'P 6/m m m'
_symmetry_Int_Tables_number 191
_symmetry_space_group_name_Hall '-P 6 2'
_cell_length_a 7.4104
_cell_length_b 7.4104
_cell_length_c 4.2463
_cell_angle_alpha 90.00
_cell_angle_beta 90.00
_cell_angle_gamma 120.00
loop_
_atom_site_label
_atom_site_type_symbol
_atom_site_fract_x
_atom_site_fract_y
_atom_site_fract_z
_atom_site_occupancy
Nd1 Nd 0.3333 0.6667 0.0000 1
Pu1 Pu 0.0000 0.0000 0.0000 1
Ga1 Ga 0.0000 0.3325 0.5000 1
```

crystal system	hexagonal
E_form	-0.554	eV/atom

---

A relaxed structure of Nd12Pu3Ga5, computed with PBE.

CIF file:
```
data_Nd12Pu3Ga5
_symmetry_space_group_name_H-M 'I a -3 d'
_symmetry_Int_Tables_number 230
_symmetry_space_group_name_Hall '-I 4bd 2c 3'
_cell_length_a 17.954
_cell_length_b 17.954
_cell_length_c 17.954
_cell_angle_alpha 90.00
_cell_angle_beta 90.00
_cell_angle_gamma 90.00
loop_
_atom_site_label
_atom_site_type_symbol
_atom_site_fract_x
_atom_site_fract_y
_atom_site_fract_z
_atom_site_occupancy
Nd1 Nd 0.028 0.071 0.645 1
Pu1 Pu 0.000 0.250 0.125 1
Ga1 Ga 0.000 0.000 0.000 1
Ga2 Ga 0.000 0.250 0.375 1
```

crystal system	cubic
E_form	0.367	eV/atom

---

A relaxed structure of NdPuGa6, computed with PBE.

CIF file:
```
data_NdPuGa6
_symmetry_space_group_name_H-M 'P -6 m 2'
_symmetry_Int_Tables_number 187
_symmetry_space_group_name_Hall 'P -6 2'
_cell_length_a 6.3419
_cell_length_b 6.3419
_cell_length_c 4.6217
_cell_angle_alpha 90.00
_cell_angle_beta 90.00
_cell_angle_gamma 120.00
loop_
_atom_site_label
_atom_site_type_symbol
_atom_site_fract_x
_atom_site_fract_y
_atom_site_fract_z
_atom_site_occupancy
Nd1 Nd 0.0000 0.0000 0.0000 1
Pu1 Pu 0.3333 0.6667 0.5000 1
Ga1 Ga 0.3750 0.1875 0.5000 1
Ga2 Ga 0.5164 0.0329 0.0000 1
```

crystal system	hexagonal
E_form	-0.472	eV/atom